DFT (PBE-GGA) results for a relaxed KCeHo2 crystal.

Computed properties:
The calculation puts the volume at 141.2 Å³/f.u. Its space group is No. 166. Its energy relative to the elements is 0.28 eV/atom. The calculation puts the magnetic moment at 0.245 Bohr magnetons per cell.

Structure (POSCAR):
```
KCeHo2
1.0
-0.054 0.665 3.475
-2.443 -1.526 2.055
7.179 -10.349 3.892
Ho Ce K
2 1 1
Direct
0.097 0.097 0.710
0.903 0.903 0.290
0.500 0.500 0.500
0.000 0.000 0.000
```